No. 1
# PBE-GGA Tl2FeBr6, optimized geometry
data_Tl2FeBr6
_cell_length_a 6.933
_cell_length_b 6.933
_cell_length_c 13.020
_cell_angle_alpha 90.00
_cell_angle_beta 90.00
_cell_angle_gamma 90.00
_symmetry_space_group_name_H-M 'P 42/m n m'
_symmetry_Int_Tables_number 136
_symmetry_space_group_name_Hall '-P 4n 2n'
loop_
_atom_site_label
_atom_site_type_symbol
_atom_site_fract_x
_atom_site_fract_y
_atom_site_fract_z
Tl1 Tl 0.000 0.000 0.164
Fe1 Fe 0.000 0.000 0.500
Br1 Br 0.182 0.182 0.359
Br2 Br 0.244 0.244 0.000
# * energy above the most stable polymorph in this dataset: 22 meV per atom

***

No. 2
# PBE-GGA TlFe2Br, optimized geometry
data_TlFe2Br
_cell_length_a 3.234
_cell_length_b 3.234
_cell_length_c 8.102
_cell_angle_alpha 90.00
_cell_angle_beta 90.00
_cell_angle_gamma 90.00
_symmetry_space_group_name_H-M 'P 4 m m'
_symmetry_Int_Tables_number 99
_symmetry_space_group_name_Hall 'P 4 -2'
loop_
_atom_site_label
_atom_site_type_symbol
_atom_site_fract_x
_atom_site_fract_y
_atom_site_fract_z
Tl1 Tl 0.000 0.000 0.000
Fe1 Fe 0.000 0.000 0.619
Fe2 Fe 0.500 0.500 0.752
Br1 Br 0.500 0.500 0.427
# * energy above the most stable polymorph in this dataset: 0 meV per atom

***

No. 3
# PBE-GGA TlFe2Br, optimized geometry
data_TlFe2Br
_cell_length_a 6.870
_cell_length_b 6.870
_cell_length_c 6.870
_cell_angle_alpha 90.00
_cell_angle_beta 90.00
_cell_angle_gamma 90.00
_symmetry_space_group_name_H-M 'F -4 3 m'
_symmetry_Int_Tables_number 216
_symmetry_space_group_name_Hall 'F -4 2 3'
loop_
_atom_site_label
_atom_site_type_symbol
_atom_site_fract_x
_atom_site_fract_y
_atom_site_fract_z
Tl1 Tl 0.000 0.000 0.000
Fe1 Fe 0.000 0.000 0.500
Fe2 Fe 0.250 0.250 0.250
Br1 Br 0.250 0.250 0.750
# * energy above the most stable polymorph in this dataset: 677 meV per atom

***

No. 4
# PBE-GGA Tl2FeBr, optimized geometry
data_Tl2FeBr
_cell_length_a 7.566
_cell_length_b 7.566
_cell_length_c 7.566
_cell_angle_alpha 90.00
_cell_angle_beta 90.00
_cell_angle_gamma 90.00
_symmetry_space_group_name_H-M 'F -4 3 m'
_symmetry_Int_Tables_number 216
_symmetry_space_group_name_Hall 'F -4 2 3'
loop_
_atom_site_label
_atom_site_type_symbol
_atom_site_fract_x
_atom_site_fract_y
_atom_site_fract_z
Tl1 Tl 0.000 0.000 0.000
Tl2 Tl 0.250 0.250 0.250
Fe1 Fe 0.000 0.000 0.500
Br1 Br 0.250 0.250 0.750
# * energy above the most stable polymorph in this dataset: 413 meV per atom

***

No. 5
# PBE-GGA Tl2FeBr, optimized geometry
data_Tl2FeBr
_cell_length_a 3.498
_cell_length_b 5.158
_cell_length_c 5.883
_cell_angle_alpha 90.00
_cell_angle_beta 90.00
_cell_angle_gamma 90.00
_symmetry_space_group_name_H-M 'P m m m'
_symmetry_Int_Tables_number 47
_symmetry_space_group_name_Hall '-P 2 2'
loop_
_atom_site_label
_atom_site_type_symbol
_atom_site_fract_x
_atom_site_fract_y
_atom_site_fract_z
Tl1 Tl 0.000 0.000 0.000
Tl2 Tl 0.500 0.000 0.500
Fe1 Fe 0.000 0.500 0.500
Br1 Br 0.500 0.500 0.000
# * energy above the most stable polymorph in this dataset: 294 meV per atom

***

No. 6
First-principles (PBE-GGA) data for a relaxed structure of Tl5Fe2Br12, as listed in Alexandria.

```
data_Tl5Fe2Br12
_cell_length_a 17.515
_cell_length_b 8.021
_cell_length_c 9.686
_cell_angle_alpha 90.00
_cell_angle_beta 108.25
_cell_angle_gamma 90.00
_symmetry_space_group_name_H-M 'C 1 2/m 1'
_symmetry_Int_Tables_number 12
_symmetry_space_group_name_Hall '-C 2y'
loop_
_atom_site_label
_atom_site_type_symbol
_atom_site_fract_x
_atom_site_fract_y
_atom_site_fract_z
Tl1 Tl 0.000 0.000 0.000
Tl2 Tl 0.186 0.500 0.340
Tl3 Tl 0.202 0.500 0.864
Fe1 Fe 0.000 0.256 0.500
Br1 Br 0.001 0.000 0.317
Br2 Br 0.003 0.500 0.686
Br3 Br 0.121 0.236 0.061
Br4 Br 0.151 0.251 0.584
```

***

No. 7
# PBE-GGA TlFe3Br, optimized geometry
data_TlFe3Br
_cell_length_a 5.080
_cell_length_b 5.080
_cell_length_c 5.080
_cell_angle_alpha 90.00
_cell_angle_beta 90.00
_cell_angle_gamma 90.00
_symmetry_space_group_name_H-M 'P m -3 m'
_symmetry_Int_Tables_number 221
_symmetry_space_group_name_Hall '-P 4 2 3'
loop_
_atom_site_label
_atom_site_type_symbol
_atom_site_fract_x
_atom_site_fract_y
_atom_site_fract_z
Tl1 Tl 0.000 0.000 0.000
Fe1 Fe 0.000 0.000 0.500
Br1 Br 0.500 0.500 0.500
# * energy above the most stable polymorph in this dataset: 483 meV per atom

***

No. 8
# PBE-GGA TlFe2Br, optimized geometry
data_TlFe2Br
_cell_length_a 3.975
_cell_length_b 3.363
_cell_length_c 6.397
_cell_angle_alpha 90.00
_cell_angle_beta 90.06
_cell_angle_gamma 90.00
_symmetry_space_group_name_H-M 'P 1 2/m 1'
_symmetry_Int_Tables_number 10
_symmetry_space_group_name_Hall '-P 2y'
loop_
_atom_site_label
_atom_site_type_symbol
_atom_site_fract_x
_atom_site_fract_y
_atom_site_fract_z
Tl1 Tl 0.000 0.000 0.000
Fe1 Fe 0.500 0.500 0.178
Br1 Br 0.500 0.000 0.500
# * energy above the most stable polymorph in this dataset: 158 meV per atom

***

No. 9
# PBE-GGA TlFe2Br, optimized geometry
data_TlFe2Br
_cell_length_a 12.300
_cell_length_b 3.207
_cell_length_c 4.672
_cell_angle_alpha 90.00
_cell_angle_beta 90.15
_cell_angle_gamma 90.00
_symmetry_space_group_name_H-M 'C 1 m 1'
_symmetry_Int_Tables_number 8
_symmetry_space_group_name_Hall 'C -2y'
loop_
_atom_site_label
_atom_site_type_symbol
_atom_site_fract_x
_atom_site_fract_y
_atom_site_fract_z
Tl1 Tl 0.000 0.000 0.000
Fe1 Fe 0.026 0.500 0.500
Fe2 Fe 0.387 0.500 0.499
Br1 Br 0.228 0.000 0.501
# * energy above the most stable polymorph in this dataset: 57 meV per atom

***

No. 10
# PBE-GGA TlFe2Br, optimized geometry
data_TlFe2Br
_cell_length_a 3.113
_cell_length_b 4.526
_cell_length_c 5.561
_cell_angle_alpha 90.00
_cell_angle_beta 90.00
_cell_angle_gamma 90.00
_symmetry_space_group_name_H-M 'P m m m'
_symmetry_Int_Tables_number 47
_symmetry_space_group_name_Hall '-P 2 2'
loop_
_atom_site_label
_atom_site_type_symbol
_atom_site_fract_x
_atom_site_fract_y
_atom_site_fract_z
Tl1 Tl 0.000 0.000 0.000
Fe1 Fe 0.000 0.500 0.500
Fe2 Fe 0.500 0.500 0.000
Br1 Br 0.500 0.000 0.500
# * energy above the most stable polymorph in this dataset: 443 meV per atom

***

No. 11
# PBE-GGA TlFe2Br, optimized geometry
data_TlFe2Br
_cell_length_a 6.652
_cell_length_b 6.652
_cell_length_c 6.652
_cell_angle_alpha 90.00
_cell_angle_beta 90.00
_cell_angle_gamma 90.00
_symmetry_space_group_name_H-M 'F m -3 m'
_symmetry_Int_Tables_number 225
_symmetry_space_group_name_Hall '-F 4 2 3'
loop_
_atom_site_label
_atom_site_type_symbol
_atom_site_fract_x
_atom_site_fract_y
_atom_site_fract_z
Tl1 Tl 0.000 0.000 0.000
Fe1 Fe 0.250 0.250 0.250
Br1 Br 0.000 0.000 0.500
# * energy above the most stable polymorph in this dataset: 529 meV per atom

***

No. 12
# PBE-GGA TlFe2Br, optimized geometry
data_TlFe2Br
_cell_length_a 7.156
_cell_length_b 7.156
_cell_length_c 6.305
_cell_angle_alpha 90.00
_cell_angle_beta 90.00
_cell_angle_gamma 90.00
_symmetry_space_group_name_H-M 'I -4 2 d'
_symmetry_Int_Tables_number 122
_symmetry_space_group_name_Hall 'I -4 2bw'
loop_
_atom_site_label
_atom_site_type_symbol
_atom_site_fract_x
_atom_site_fract_y
_atom_site_fract_z
Tl1 Tl 0.000 0.000 0.000
Fe1 Fe 0.216 0.250 0.625
Br1 Br 0.000 0.000 0.500
# * energy above the most stable polymorph in this dataset: 469 meV per atom

***

No. 13
# PBE-GGA Tl2FeBr, optimized geometry
data_Tl2FeBr
_cell_length_a 4.642
_cell_length_b 4.642
_cell_length_c 9.750
_cell_angle_alpha 90.00
_cell_angle_beta 90.00
_cell_angle_gamma 90.00
_symmetry_space_group_name_H-M 'I 4/m m m'
_symmetry_Int_Tables_number 139
_symmetry_space_group_name_Hall '-I 4 2'
loop_
_atom_site_label
_atom_site_type_symbol
_atom_site_fract_x
_atom_site_fract_y
_atom_site_fract_z
Tl1 Tl 0.000 0.500 0.250
Fe1 Fe 0.000 0.000 0.000
Br1 Br 0.000 0.000 0.500
# * energy above the most stable polymorph in this dataset: 322 meV per atom

***

| no. | spin magnetization (μB per atom) | raw formation energy (kJ/mol of formula units) |
| --- | --- | --- |
| 1 | 0.46 | -459 |
| 2 | 1.47 | 113 |
| 3 | 1.47 | 374 |
| 4 | 0.76 | 204 |
| 5 | 0.81 | 159 |
| 6 | 0.47 | -1120 |
| 7 | 2.09 | 742 |
| 8 | 1.36 | 174 |
| 9 | 1.23 | 135 |
| 10 | 1.41 | 284 |
| 11 | 1.34 | 317 |
| 12 | 1.50 | 294 |
| 13 | 0.80 | 169 |